20
Lattice="9.9507 0.0000 0.0000 0.0000 9.9507 0.0000 0.0000 0.0000 3.1483" Properties=species:S:1:pos:R:3 comment="PBE-GGA Mg2Al2GaIr5, relaxed" sg="No. 127" magnetic_moment_mub_per_cell=0.00 vol_a3_per_atom=15.6 formation_enthalpy_0k_ev_per_atom=-0.424 pbc="T T T"
Mg 1.6942 3.2811 0.0000
Mg 3.2811 8.2565 0.0000
Mg 6.6696 1.6942 0.0000
Mg 8.2565 6.6696 0.0000
Al 1.3182 6.2936 0.0000
Al 3.6571 1.3182 0.0000
Al 6.2936 8.6325 0.0000
Al 8.6325 3.6571 0.0000
Ga 0.0000 0.0000 0.0000
Ga 4.9754 4.9754 0.0000
Ir 0.0000 4.9754 1.5741
Ir 0.6679 8.0144 1.5741
Ir 1.9363 0.6679 1.5741
Ir 3.0390 5.6433 1.5741
Ir 4.3075 3.0390 1.5741
Ir 4.9754 0.0000 1.5741
Ir 5.6433 6.9117 1.5741
Ir 6.9117 4.3075 1.5741
Ir 8.0144 9.2828 1.5741
Ir 9.2828 1.9363 1.5741